The following is a GGA+U calculation of NaHfCuWO6 after structural relaxation, from Alexandria.

Final energy = -7.295 eV/atom
V = 12.8 Å³ per atom
Crystal system = cubic

a b c (Å): 7.999 7.999 7.999
angles (deg): 90.00 90.00 90.00
Space group F-43m (No. 216)
Asymmetric unit:
Na: 0.000 0.000 0.000 (multiplicity 4)
Hf: 0.250 0.250 0.750 (multiplicity 4)
Cu: 0.000 0.000 0.500 (multiplicity 4)
W: 0.250 0.250 0.250 (multiplicity 4)
O: 0.008 0.250 0.250 (multiplicity 24)